[1]
A relaxed PmReAsO crystal. Source: OQMD, functional GGA-PBE.

Values from the calculation:
total magnetic moment = 0.0 μB per formula unit
offset from the most stable computed form = 0 meV/atom

Cell: 4.0000 4.0000 8.7699 Å, 90.00 90.00 90.00°
Closest atoms and distances in Å follow each position.
Fractional coordinates of all 8 atoms:
Pm: 0.2500 0.2500 0.1344  4 O 2.32
Pm: 0.7500 0.7500 0.8656  4 O 2.32
Re: 0.2500 0.7500 0.5000  4 As 2.53, 4 Re 2.83
Re: 0.7500 0.2500 0.5000  4 As 2.53, 4 Re 2.83
As: 0.2500 0.2500 0.6760  4 Re 2.53
As: 0.7500 0.7500 0.3240  4 Re 2.53
O: 0.2500 0.7500 0.0000  4 Pm 2.32
O: 0.7500 0.2500 0.0000  4 Pm 2.32

---

[2]
A relaxed Zr2TlHg2 crystal. Source: OQMD, functional GGA-PBE.

Values from the calculation:
total magnetic moment = 0.0 μB per formula unit
uncorrected energy = -3.463 eV/atom

Cell: 5.8496 5.8496 5.8496 Å, 123.62 123.62 83.83°
Closest atoms and distances in Å follow each position.
Fractional coordinates of all 5 atoms:
Zr: 0.0000 0.5000 0.5000  2 Tl 2.76
Zr: 0.5000 0.0000 0.5000  2 Tl 2.76
Tl: 0.0000 0.0000 0.0000  4 Zr 2.76, 2 Hg 2.84
Hg: 0.3258 0.3258 0.0000  1 Tl 2.84, 1 Hg 3.03, 4 Zr 3.15
Hg: 0.6742 0.6742 0.0000  1 Tl 2.84, 1 Hg 3.03, 4 Zr 3.15

---

[3]
A relaxed DySc crystal. Source: OQMD, functional GGA-PBE.

Values from the calculation:
total magnetic moment = 1.4 μB per formula unit
E_form = 772 meV per atom
offset from the most stable computed form = 727 meV/atom

Cell: 4.3513 4.3513 4.3513 Å, 60.00 60.00 60.00°
Closest atoms and distances in Å follow each position.
Fractional coordinates of all 2 atoms:
Dy: 0.0000 0.0000 0.0000  6 Sc 3.08
Sc: 0.5000 0.5000 0.5000  6 Dy 3.08

---

[4]
A relaxed CuH9C4S4N crystal. Source: OQMD, functional GGA-PBE.

Values from the calculation:
uncorrected energy = -5.106 eV/atom

Cell: 9.4554 10.6620 11.0329 Å, 78.65 65.06 74.43°
Closest atoms and distances in Å follow each position.
Fractional coordinates of all 76 atoms:
Cu: 0.0701 0.1063 0.4438  4 S 2.24-2.34
Cu: 0.4162 0.6188 0.0450  4 S 2.24-2.34
Cu: 0.5838 0.3812 0.9550  4 S 2.24-2.34
Cu: 0.9299 0.8937 0.5562  4 S 2.24-2.34
H: 0.0073 0.5482 0.8449  1 C 1.10
H: 0.0328 0.5812 0.6158  1 C 1.10
H: 0.1080 0.9626 0.7774  1 C 1.11
H: 0.1125 0.8330 0.9076  1 C 1.10
H: 0.1497 0.4245 0.8930  1 C 1.10
H: 0.1910 0.0920 0.9162  1 C 1.11
H: 0.1917 0.9443 0.0262  1 C 1.10
H: 0.1993 0.4880 0.4931  1 C 1.10
H: 0.1993 0.5778 0.8087  1 C 1.11
H: 0.2245 0.6206 0.5547  1 C 1.11
H: 0.2344 0.8059 0.7358  1 C 1.10
H: 0.3611 0.2923 0.7292  1 C 1.10
H: 0.3674 0.0609 0.6569  1 C 1.11
H: 0.3679 0.0095 0.9433  1 C 1.10
H: 0.3845 0.3241 0.5571  1 C 1.10
H: 0.4424 0.4290 0.6285  1 C 1.11
H: 0.4695 0.8966 0.6211  1 C 1.10
H: 0.4732 0.0174 0.2892  1 C 1.10
H: 0.5268 0.9826 0.7108  1 C 1.10
H: 0.5305 0.1034 0.3789  1 C 1.10
H: 0.5576 0.5710 0.3715  1 C 1.11
H: 0.6155 0.6759 0.4429  1 C 1.10
H: 0.6321 0.9905 0.0567  1 C 1.10
H: 0.6326 0.9391 0.3431  1 C 1.11
H: 0.6389 0.7077 0.2708  1 C 1.10
H: 0.7656 0.1941 0.2642  1 C 1.10
H: 0.7755 0.3794 0.4453  1 C 1.11
H: 0.8007 0.4222 0.1913  1 C 1.11
H: 0.8007 0.5120 0.5069  1 C 1.10
H: 0.8083 0.0557 0.9738  1 C 1.10
H: 0.8090 0.9080 0.0838  1 C 1.11
H: 0.8503 0.5755 0.1070  1 C 1.10
H: 0.8875 0.1670 0.0924  1 C 1.10
H: 0.8920 0.0374 0.2226  1 C 1.11
H: 0.9672 0.4188 0.3842  1 C 1.10
H: 0.9927 0.4518 0.1551  1 C 1.10
C: 0.1078 0.7581 0.2847  3 S 1.68-1.75
C: 0.1343 0.5021 0.8151  3 H 1.10-1.11
C: 0.1611 0.5383 0.5831  3 H 1.10-1.11
C: 0.1863 0.8773 0.8104  3 H 1.10-1.11
C: 0.2640 0.9941 0.9319  3 H 1.10-1.11
C: 0.2934 0.2484 0.1564  3 S 1.68-1.75
C: 0.3530 0.3696 0.6488  3 H 1.10-1.11
C: 0.4248 0.9665 0.6969  3 H 1.10-1.11
C: 0.5752 0.0335 0.3031  3 H 1.10-1.11
C: 0.6470 0.6304 0.3512  3 H 1.10-1.11
C: 0.7066 0.7516 0.8436  3 S 1.68-1.75
C: 0.7360 0.0059 0.0681  3 H 1.10-1.11
C: 0.8137 0.1227 0.1896  3 H 1.10-1.11
C: 0.8389 0.4617 0.4169  3 H 1.10-1.11
C: 0.8657 0.4979 0.1849  3 H 1.10-1.11
C: 0.8922 0.2419 0.7153  3 S 1.68-1.75
S: 0.0814 0.1980 0.6053  1 C 1.68
S: 0.1506 0.6721 0.1546  1 C 1.70
S: 0.1586 0.1503 0.2201  1 C 1.70
S: 0.1997 0.8872 0.4596  1 S 2.03
S: 0.2733 0.7964 0.2914  1 C 1.75
S: 0.3110 0.3275 0.2731  1 C 1.75
S: 0.3991 0.2662 0.9900  1 C 1.68
S: 0.4865 0.4295 0.1733  1 S 2.03
S: 0.5135 0.5705 0.8267  1 S 2.03
S: 0.6009 0.7338 0.0100  1 C 1.68
S: 0.6890 0.6725 0.7269  1 C 1.75
S: 0.7267 0.2036 0.7086  1 C 1.75
S: 0.8003 0.1128 0.5404  1 S 2.03
S: 0.8414 0.8497 0.7799  1 C 1.70
S: 0.8494 0.3279 0.8454  1 C 1.70
S: 0.9186 0.8020 0.3947  1 C 1.68
N: 0.1926 0.4475 0.6886  3 C 1.44-1.45
N: 0.3152 0.9152 0.8224  3 C 1.44-1.45
N: 0.6848 0.0848 0.1776  3 C 1.44-1.45
N: 0.8074 0.5525 0.3114  3 C 1.44-1.45

---

[5]
A relaxed Sr2SmPt9 crystal. Source: OQMD, functional GGA-PBE.

Values from the calculation:
total magnetic moment = 0.0 μB per formula unit
uncorrected energy = -5.978 eV/atom

Cell: 9.5392 9.5392 9.5392 Å, 33.21 33.21 33.21°
Closest atoms and distances in Å follow each position.
Fractional coordinates of all 12 atoms:
Sr: 0.1418 0.1418 0.1418  12 Pt 3.16-3.33, 3 Sr 3.42
Sr: 0.8582 0.8582 0.8582  12 Pt 3.16-3.33, 3 Sr 3.42
Sm: 0.0000 0.0000 0.0000  18 Pt 3.15-3.52
Pt: 0.0810 0.5834 0.5834  7 Pt 2.71-2.77
Pt: 0.3326 0.3326 0.3326  6 Pt 2.71-2.75
Pt: 0.4166 0.4166 0.9190  7 Pt 2.71-2.77
Pt: 0.4166 0.9190 0.4166  7 Pt 2.71-2.77
Pt: 0.5000 0.5000 0.5000  6 Pt 2.77
Pt: 0.5834 0.0810 0.5834  7 Pt 2.71-2.77
Pt: 0.5834 0.5834 0.0810  7 Pt 2.71-2.77
Pt: 0.6674 0.6674 0.6674  6 Pt 2.71-2.75
Pt: 0.9190 0.4166 0.4166  7 Pt 2.71-2.77

---

[6]
A relaxed ZnHgTeO crystal. Source: OQMD, functional GGA-PBE.

Values from the calculation:
offset from the most stable computed form = 213 meV/atom

Cell: 6.4336 14.0211 8.9981 Å, 90.00 90.00 90.00°
Closest atoms and distances in Å follow each position.
Fractional coordinates of all 32 atoms:
Zn: 0.0297 0.2109 0.2494  2 O 1.87
Zn: 0.0297 0.2891 0.7494  2 O 1.87
Zn: 0.4703 0.7109 0.2494  2 O 1.87
Zn: 0.4703 0.7891 0.7494  2 O 1.87
Zn: 0.5297 0.2109 0.2506  2 O 1.87
Zn: 0.5297 0.2891 0.7506  2 O 1.87
Zn: 0.9703 0.7109 0.2506  2 O 1.87
Zn: 0.9703 0.7891 0.7506  2 O 1.87
Hg: 0.2479 0.1073 0.9742  1 O 2.31
Hg: 0.2479 0.3927 0.4742  1 O 2.31
Hg: 0.2521 0.6073 0.9742  1 O 2.31
Hg: 0.2521 0.8927 0.4742  1 O 2.31
Hg: 0.7479 0.1073 0.5258  1 O 2.31
Hg: 0.7479 0.3927 0.0258  1 O 2.31
Hg: 0.7521 0.6073 0.5258  1 O 2.31
Hg: 0.7521 0.8927 0.0258  1 O 2.31
Te: 0.0688 0.0184 0.2402  1 Zn 2.71, 2 Hg 2.93-2.99
Te: 0.0688 0.4816 0.7402  1 Zn 2.71, 2 Hg 2.93-2.99
Te: 0.4312 0.5184 0.2402  1 Zn 2.71, 2 Hg 2.93-2.99
Te: 0.4312 0.9816 0.7402  1 Zn 2.71, 2 Hg 2.93-2.99
Te: 0.5688 0.0184 0.2598  1 Zn 2.71, 2 Hg 2.93-2.99
Te: 0.5688 0.4816 0.7598  1 Zn 2.71, 2 Hg 2.93-2.99
Te: 0.9312 0.5184 0.2598  1 Zn 2.71, 2 Hg 2.93-2.99
Te: 0.9312 0.9816 0.7598  1 Zn 2.71, 2 Hg 2.93-2.99
O: 0.2203 0.7395 0.8220  2 Zn 1.87
O: 0.2203 0.7605 0.3220  2 Zn 1.87
O: 0.2797 0.2395 0.8220  2 Zn 1.87
O: 0.2797 0.2605 0.3220  2 Zn 1.87
O: 0.7203 0.7395 0.6780  2 Zn 1.87
O: 0.7203 0.7605 0.1780  2 Zn 1.87
O: 0.7797 0.2395 0.6780  2 Zn 1.87
O: 0.7797 0.2605 0.1780  2 Zn 1.87

---

[7]
A relaxed MgSiTeMo crystal. Source: OQMD, functional GGA-PBE.

Values from the calculation:
total magnetic moment = 1.7 μB per formula unit
offset from the most stable computed form = 350 meV/atom

Cell: 4.7400 4.7400 4.7400 Å, 60.00 60.00 60.00°
Closest atoms and distances in Å follow each position.
Fractional coordinates of all 4 atoms:
Mg: 0.0000 0.0000 0.0000  4 Mo 2.90, 4 Si 2.90
Si: 0.7500 0.7500 0.7500  4 Te 2.90, 4 Mg 2.90
Te: 0.5000 0.5000 0.5000  4 Si 2.90, 4 Mo 2.90
Mo: 0.2500 0.2500 0.2500  4 Mg 2.90, 4 Te 2.90

---

[8]
A relaxed GaTcAg crystal. Source: OQMD, functional GGA-PBE.

Values from the calculation:
total magnetic moment = 1.8 μB per formula unit
offset from the most stable computed form = 0 meV/atom

Cell: 4.3476 4.3476 4.3476 Å, 60.00 60.00 60.00°
Closest atoms and distances in Å follow each position.
Fractional coordinates of all 3 atoms:
Ga: 0.0000 0.0000 0.0000  4 Tc 2.66
Tc: 0.7500 0.7500 0.7500  4 Ga 2.66, 4 Ag 2.66
Ag: 0.5000 0.5000 0.5000  4 Tc 2.66

---

What did the sixth record say?
A relaxed ZnHgTeO crystal. Source: OQMD, functional GGA-PBE.

Values from the calculation:
offset from the most stable computed form = 213 meV/atom

Cell: 6.4336 14.0211 8.9981 Å, 90.00 90.00 90.00°
Closest atoms and distances in Å follow each position.
Fractional coordinates of all 32 atoms:
Zn: 0.0297 0.2109 0.2494  2 O 1.87
Zn: 0.0297 0.2891 0.7494  2 O 1.87
Zn: 0.4703 0.7109 0.2494  2 O 1.87
Zn: 0.4703 0.7891 0.7494  2 O 1.87
Zn: 0.5297 0.2109 0.2506  2 O 1.87
Zn: 0.5297 0.2891 0.7506  2 O 1.87
Zn: 0.9703 0.7109 0.2506  2 O 1.87
Zn: 0.9703 0.7891 0.7506  2 O 1.87
Hg: 0.2479 0.1073 0.9742  1 O 2.31
Hg: 0.2479 0.3927 0.4742  1 O 2.31
Hg: 0.2521 0.6073 0.9742  1 O 2.31
Hg: 0.2521 0.8927 0.4742  1 O 2.31
Hg: 0.7479 0.1073 0.5258  1 O 2.31
Hg: 0.7479 0.3927 0.0258  1 O 2.31
Hg: 0.7521 0.6073 0.5258  1 O 2.31
Hg: 0.7521 0.8927 0.0258  1 O 2.31
Te: 0.0688 0.0184 0.2402  1 Zn 2.71, 2 Hg 2.93-2.99
Te: 0.0688 0.4816 0.7402  1 Zn 2.71, 2 Hg 2.93-2.99
Te: 0.4312 0.5184 0.2402  1 Zn 2.71, 2 Hg 2.93-2.99
Te: 0.4312 0.9816 0.7402  1 Zn 2.71, 2 Hg 2.93-2.99
Te: 0.5688 0.0184 0.2598  1 Zn 2.71, 2 Hg 2.93-2.99
Te: 0.5688 0.4816 0.7598  1 Zn 2.71, 2 Hg 2.93-2.99
Te: 0.9312 0.5184 0.2598  1 Zn 2.71, 2 Hg 2.93-2.99
Te: 0.9312 0.9816 0.7598  1 Zn 2.71, 2 Hg 2.93-2.99
O: 0.2203 0.7395 0.8220  2 Zn 1.87
O: 0.2203 0.7605 0.3220  2 Zn 1.87
O: 0.2797 0.2395 0.8220  2 Zn 1.87
O: 0.2797 0.2605 0.3220  2 Zn 1.87
O: 0.7203 0.7395 0.6780  2 Zn 1.87
O: 0.7203 0.7605 0.1780  2 Zn 1.87
O: 0.7797 0.2395 0.6780  2 Zn 1.87
O: 0.7797 0.2605 0.1780  2 Zn 1.87